Entry 1:
A geometry-optimized KAs2PdSe structure, computed with GGA-PBEsol.

Properties
Fermi-level density of states in states/eV/f.u.: 7.6
ρ in g cm⁻³: 4.36
Raw formation energy in eV per atom: 1.7628
M_tot in Bohr magnetons per cell: 0.002

a b c (Å): 5.193 5.193 5.287
angles (deg): 90.00 90.00 90.00
Positions (direct):
K 0.000 0.000 0.000
As 0.000 0.500 0.000
As 0.500 0.000 0.000
Pd 0.500 0.500 0.500
Se 0.000 0.000 0.500

***

Entry 2:
A geometry-optimized KAsPt structure, computed with GGA-PBEsol.

Properties
DFT formation energy in eV per atom: -0.376
Fermi-level density of states in states/eV/f.u.: 1.8
ρ in g cm⁻³: 6.70
M_tot in Bohr magnetons per cell: 0.000

a b c (Å): 4.131 4.131 5.186
angles (deg): 90.00 90.00 120.00
Positions (direct):
K 0.000 0.000 0.000
As 0.667 0.333 0.500
Pt 0.333 0.667 0.500

***

Entry 3:
A geometry-optimized K2As2Pt structure, computed with GGA-PBEsol.

Properties
DFT formation energy in eV per atom: -0.472
Fermi-level density of states in states/eV/f.u.: 0.9
ρ in g cm⁻³: 5.17
M_tot in Bohr magnetons per cell: 0.000

a b c (Å): 7.933 7.933 5.909
angles (deg): 90.00 90.00 133.04
Positions (direct):
K 0.078 0.922 0.750
K 0.296 0.704 0.250
K 0.704 0.296 0.750
K 0.922 0.078 0.250
As 0.194 0.416 0.750
As 0.416 0.194 0.250
As 0.584 0.806 0.750
As 0.806 0.584 0.250
Pt 0.500 0.500 0.000
Pt 0.500 0.500 0.500

***

Entry 4:
A geometry-optimized K2As2Pt structure, computed with GGA-PBEsol.

Properties
DFT formation energy in eV per atom: -0.426
Fermi-level density of states in states/eV/f.u.: 1.6
ρ in g cm⁻³: 6.14
M_tot in Bohr magnetons per cell: 0.000

a b c (Å): 6.474 6.474 5.462
angles (deg): 90.00 90.00 90.00
Positions (direct):
K 0.174 0.326 0.000
K 0.326 0.826 0.000
K 0.674 0.174 0.000
K 0.826 0.674 0.000
As 0.138 0.638 0.500
As 0.362 0.138 0.500
As 0.638 0.862 0.500
As 0.862 0.362 0.500
Pt 0.000 0.000 0.500
Pt 0.500 0.500 0.500

***

Entry 5:
A geometry-optimized KRbAs3 structure, computed with GGA-PBEsol.

Properties
DFT formation energy in eV per atom: 0.987
Fermi-level density of states in states/eV/f.u.: 7.5
ρ in g cm⁻³: 3.39
M_tot in Bohr magnetons per cell: 0.214

a b c (Å): 5.553 5.553 5.553
angles (deg): 90.00 90.00 90.00
Positions (direct):
K 0.000 0.000 0.000
Rb 0.500 0.500 0.500
As 0.000 0.000 0.500
As 0.000 0.500 0.000
As 0.500 0.000 0.000

***

Entry 6:
A geometry-optimized KRb2As2 structure, computed with GGA-PBEsol.

Properties
DFT formation energy in eV per atom: -0.281
Fermi-level density of states in states/eV/f.u.: 4.4
ρ in g cm⁻³: 3.26
M_tot in Bohr magnetons per cell: 1.755

a b c (Å): 8.364 8.364 5.241
angles (deg): 90.00 90.00 90.00
Positions (direct):
K 0.000 0.000 0.000
K 0.500 0.500 0.000
Rb 0.170 0.330 0.500
Rb 0.330 0.830 0.500
Rb 0.670 0.170 0.500
Rb 0.830 0.670 0.500
As 0.102 0.602 0.000
As 0.398 0.102 0.000
As 0.602 0.898 0.000
As 0.898 0.398 0.000

***

Entry 7:
A geometry-optimized K2RbAs2 structure, computed with GGA-PBEsol.

Properties
DFT formation energy in eV per atom: -0.295
Fermi-level density of states in states/eV/f.u.: 4.6
ρ in g cm⁻³: 3.00
M_tot in Bohr magnetons per cell: 0.126

a b c (Å): 8.564 8.564 4.736
angles (deg): 90.00 90.00 90.00
Positions (direct):
K 0.171 0.329 0.000
K 0.329 0.829 0.000
K 0.671 0.171 0.000
K 0.829 0.671 0.000
Rb 0.000 0.000 0.500
Rb 0.500 0.500 0.500
As 0.100 0.600 0.500
As 0.400 0.100 0.500
As 0.600 0.900 0.500
As 0.900 0.400 0.500

***

Entry 8:
A geometry-optimized KRb3As structure, computed with GGA-PBEsol.

Properties
DFT formation energy in eV per atom: -0.064
Fermi-level density of states in states/eV/f.u.: 5.6
ρ in g cm⁻³: 1.95
M_tot in Bohr magnetons per cell: 0.916

a b c (Å): 6.806 6.806 6.806
angles (deg): 90.00 90.00 90.00
Positions (direct):
K 0.000 0.000 0.000
Rb 0.000 0.500 0.500
Rb 0.500 0.000 0.500
Rb 0.500 0.500 0.000
As 0.500 0.500 0.500

***

Entry 9:
A geometry-optimized K3ReAs structure, computed with GGA-PBEsol.

Properties
DFT formation energy in eV per atom: 1.387
Fermi-level density of states in states/eV/f.u.: 4.4
ρ in g cm⁻³: 2.61
M_tot in Bohr magnetons per cell: 5.046

a b c (Å): 6.224 6.224 6.224
angles (deg): 90.00 90.00 90.00
Positions (direct):
K 0.000 0.000 0.500
K 0.000 0.500 0.000
K 0.500 0.000 0.000
Re 0.500 0.500 0.500
As 0.000 0.000 0.000

***

Entry 10:
A geometry-optimized K2Re2As structure, computed with GGA-PBEsol.

Properties
DFT formation energy in eV per atom: 0.775
Fermi-level density of states in states/eV/f.u.: 3.4
ρ in g cm⁻³: 6.62
M_tot in Bohr magnetons per cell: 0.000

a b c (Å): 3.442 3.442 22.248
angles (deg): 90.00 90.00 90.00
Positions (direct):
K 0.000 0.000 0.105
K 0.000 0.000 0.895
K 0.500 0.500 0.395
K 0.500 0.500 0.605
Re 0.000 0.500 0.250
Re 0.000 0.500 0.750
Re 0.500 0.000 0.250
Re 0.500 0.000 0.750
As 0.000 0.000 0.500
As 0.500 0.500 0.000

***

Entry 11:
A geometry-optimized K2ReAs structure, computed with GGA-PBEsol.

Properties
DFT formation energy in eV per atom: 0.934
Fermi-level density of states in states/eV/f.u.: 2.4
ρ in g cm⁻³: 6.78
M_tot in Bohr magnetons per cell: 0.000

a b c (Å): 2.816 5.337 5.530
angles (deg): 90.00 90.00 90.00
Positions (direct):
K 0.000 0.249 0.000
K 0.000 0.751 0.000
Re 0.500 0.500 0.500
As 0.500 0.000 0.500

***

Entry 12:
A geometry-optimized KAsRh structure, computed with GGA-PBEsol.

Properties
DFT formation energy in eV per atom: 0.574
Fermi-level density of states in states/eV/f.u.: 3.2
ρ in g cm⁻³: 5.42
M_tot in Bohr magnetons per cell: 0.005

a b c (Å): 6.430 6.430 6.430
angles (deg): 90.00 90.00 90.00
Positions (direct):
K 0.000 0.000 0.000
K 0.000 0.500 0.500
K 0.500 0.000 0.500
K 0.500 0.500 0.000
As 0.250 0.250 0.250
As 0.250 0.750 0.750
As 0.750 0.250 0.750
As 0.750 0.750 0.250
Rh 0.000 0.000 0.500
Rh 0.000 0.500 0.000
Rh 0.500 0.000 0.000
Rh 0.500 0.500 0.500

***

Entry 13:
A geometry-optimized KAs2Rh structure, computed with GGA-PBEsol.

Properties
DFT formation energy in eV per atom: -0.011
Fermi-level density of states in states/eV/f.u.: 2.3
ρ in g cm⁻³: 5.75
M_tot in Bohr magnetons per cell: 0.000

a b c (Å): 3.362 3.362 7.452
angles (deg): 90.00 90.00 90.00
Positions (direct):
K 0.000 0.000 0.000
As 0.000 0.000 0.461
As 0.500 0.500 0.689
Rh 0.500 0.500 0.356

***

Entry 14:
A geometry-optimized KAs2Rh structure, computed with GGA-PBEsol.

Properties
DFT formation energy in eV per atom: -0.259
Fermi-level density of states in states/eV/f.u.: 0.9
ρ in g cm⁻³: 6.34
M_tot in Bohr magnetons per cell: 0.000

a b c (Å): 3.107 3.107 7.915
angles (deg): 90.00 90.00 90.00
Positions (direct):
K 0.000 0.000 0.000
As 0.500 0.500 0.317
As 0.500 0.500 0.683
Rh 0.000 0.000 0.500